No. 1
The following is a DFT calculation (PBE-GGA) of a relaxed structure of HgB3N3.

```
HgB3N3
1.0
4.8252 0.0000 0.0000
0.0000 4.8252 0.0000
0.0000 0.0000 4.8252
Hg B N
2 6 6
Cartesian
0.0000 0.0000 0.0000
2.4126 2.4126 2.4126
0.0000 1.2063 2.4126
0.0000 3.6189 2.4126
1.2063 2.4126 0.0000
2.4126 0.0000 1.2063
2.4126 0.0000 3.6189
3.6189 2.4126 0.0000
0.0000 2.4126 1.2063
0.0000 2.4126 3.6189
1.2063 0.0000 2.4126
2.4126 1.2063 0.0000
2.4126 3.6189 0.0000
3.6189 0.0000 2.4126
```

## Properties
The uncorrected formation energy is 0.21 eV/atom. Its total magnetization is 0.0 μB/f.u. The value obtained for the volume is 112.3 Å³ per cell. Its space-group type is Pm-3n, No. 223.

---

No. 2
The following is a DFT calculation (PBE-GGA) of a relaxed structure of Hg2BN.

```
Hg2BN
1.0
6.2297 0.0000 0.0000
0.0000 6.2297 0.0000
0.0000 0.0000 6.2297
Hg B N
8 4 4
Cartesian
1.5574 1.5574 1.5574
1.5574 1.5574 4.6723
1.5574 4.6723 1.5574
1.5574 4.6723 4.6723
4.6723 1.5574 1.5574
4.6723 1.5574 4.6723
4.6723 4.6723 1.5574
4.6723 4.6723 4.6723
0.0000 0.0000 0.0000
0.0000 3.1149 3.1149
3.1149 0.0000 3.1149
3.1149 3.1149 0.0000
0.0000 0.0000 3.1149
0.0000 3.1149 0.0000
3.1149 0.0000 0.0000
3.1149 3.1149 3.1149
```

## Properties
The uncorrected formation energy is 1.86 eV/atom. Its total magnetization is 0.0 μB/f.u. The relative energy among the computed polymorphs comes out at 390 meV/atom. The value obtained for the volume is 241.8 Å³ per cell. Its space-group type is Fm-3m, No. 225.

---

No. 3
The following is a DFT calculation (PBE-GGA) of a relaxed structure of Hg2B2N.

```
Hg2B2N
1.0
4.3256 0.0000 0.0000
0.0000 4.3256 0.0000
0.0000 0.0000 10.4403
Hg B N
4 4 2
Cartesian
0.0000 2.1628 2.6101
0.0000 2.1628 7.8302
2.1628 0.0000 2.6101
2.1628 0.0000 7.8302
0.0000 0.0000 1.3360
0.0000 0.0000 9.1043
2.1628 2.1628 3.8841
2.1628 2.1628 6.5562
0.0000 0.0000 0.0000
2.1628 2.1628 5.2201
```

## Properties
The uncorrected formation energy is 0.43 eV/atom. Its total magnetization is 0.0 μB/f.u. The relative energy among the computed polymorphs comes out at 0 meV/atom. The value obtained for the volume is 195.3 Å³ per cell. Its space-group type is I4/mmm, No. 139.

---

No. 4
The following is a DFT calculation (PBE-GGA) of a relaxed structure of HgB2N.

```
HgB2N
1.0
4.7014 0.0000 0.0000
0.0000 4.7014 0.0000
0.0000 0.0000 7.6058
Hg B N
4 8 4
Cartesian
0.0000 0.0000 0.0000
0.0000 2.3507 1.9015
2.3507 0.0000 5.7044
2.3507 2.3507 3.8029
0.6170 1.1754 4.7536
1.1754 2.9677 6.6551
1.1754 4.0844 2.8522
1.7337 1.1754 0.9507
2.9677 3.5261 0.9507
3.5261 0.6170 2.8522
3.5261 1.7337 6.6551
4.0844 3.5261 4.7536
0.0000 0.0000 3.8029
0.0000 2.3507 5.7044
2.3507 0.0000 1.9015
2.3507 2.3507 0.0000
```

## Properties
The uncorrected formation energy is 0.67 eV/atom. Its total magnetization is 0.0 μB/f.u. The relative energy among the computed polymorphs comes out at 0 meV/atom. The value obtained for the volume is 168.1 Å³ per cell. Its space-group type is I-42d, No. 122.